Entry 1:
The following is a GGA-PBE calculation of a relaxed structure of TcSb2W, from Alexandria via LeMat-Bulk.

VASP energy ... -7.117 eV per atom
Crystal system ... monoclinic
Space group ... P2/m (10)
Fermi-level density of states ... 3.37 states/eV per cell
ΔE_f (raw) ... 0.774 eV/atom

a b c (Å): 4.294 3.137 5.697
angles (deg): 86.56 90.00 90.00
Atoms (fractional coordinates):
Tc 0.500 0.250 0.250
Sb 0.000 0.028 0.003
Sb 0.000 0.472 0.497
W 0.500 0.750 0.750

Entry 2:
The following is a GGA-PBE calculation of a relaxed structure of TcSb2W, from Alexandria via LeMat-Bulk.

VASP energy ... -7.535 eV per atom
Crystal system ... monoclinic
Space group ... Cm (8)
Fermi-level density of states ... 3.01 states/eV per cell
ΔE_f (raw) ... 0.356 eV/atom

a b c (Å): 5.087 5.087 5.011
angles (deg): 71.66 71.66 37.35
Atoms (fractional coordinates):
W 0.235 0.235 0.191
Sb 0.986 0.986 0.052
Sb 0.766 0.766 0.692
Tc 0.513 0.513 0.565

Question: Which value of VASP energy does entry 1 give?
Answer: -7.117 eV per atom

Question: The lowest VASP energy belongs to which entry?
Answer: number 2